# 1
OsPbW2 after structural relaxation, computed with PBE.

Cell: 3.979 2.910 6.757 Å, 74.10 90.00 90.00°
Sites, in units of the cell vectors:
1 Os 0.000 0.673 0.429
2 Pb 0.500 0.645 0.761
3 W 0.000 0.949 0.041
4 W 0.500 0.234 0.269

Symmetry: Pm, No. 6
Fermi-level density of states: 0.520 states/eV/atom
Formation energy from the elements: 2.84 eV/f.u.
Total energy: -0.3492 hartree per atom
Crystal system: monoclinic

***

# 2
OsPbW2 after structural relaxation, computed with PBE.

Cell: 4.822 4.822 2.997 Å, 90.00 90.00 90.00°
Sites, in units of the cell vectors:
1 Os 0.500 0.000 0.500
2 Pb 0.000 0.500 0.500
3 W 0.000 0.000 0.000
4 W 0.500 0.500 0.000

Symmetry: P4/mmm, No. 123
Fermi-level density of states: 1.321 states/eV/atom
Formation energy from the elements: 4.32 eV/f.u.
Total energy: -0.3355 hartree per atom
Crystal system: tetragonal

***

# 3
Os2PbW after structural relaxation, computed with PBE.

Cell: 4.936 4.936 5.014 Å, 79.51 79.51 35.32°
Sites, in units of the cell vectors:
1 Os 0.002 0.002 0.029
2 Os 0.736 0.736 0.769
3 Pb 0.498 0.498 0.517
4 W 0.264 0.264 0.186

Symmetry: Cm, No. 8
Fermi-level density of states: 0.843 states/eV/atom
Formation energy from the elements: 3.13 eV/f.u.
Total energy: -0.3306 hartree per atom
Crystal system: monoclinic

***

Among the records above, which one has the highest total energy? Os2PbW

***

The highest Fermi-level density of states belongs to which entry? number 2

***

Number 3 is which compound? Os2PbW